[1]
Compound: RbYCd3
Source: the Alexandria database
Functional: GGA-PBE
Structure: optimized geometry

## Properties
energy relative to the elements = 0.87 eV per atom
mass density = 4.32 g/cm3
Fermi-level density of states = 6.7 states/eV/cell
E_tot = -5.83 eV per formula unit

a b c (Å): 5.8170 5.8170 5.8170
angles (deg): 90.00 90.00 90.00
Closest atoms and distances in Å follow each position.
Fractional positions:
Rb1 0.0000 0.0000 0.0000  6 Cd 2.91
Y1 0.5000 0.5000 0.5000  12 Cd 4.11
Cd1 0.0000 0.0000 0.5000  2 Rb 2.91
Cd2 0.0000 0.5000 0.0000  2 Rb 2.91
Cd3 0.5000 0.0000 0.0000  2 Rb 2.91

=====

[2]
Compound: Ru3Cl
Source: the Alexandria database
Functional: GGA-PBE
Structure: optimized geometry

## Properties
formation energy (no corrections) = 0.568 eV/atom
mass density = 7.06 g/cm3
Fermi-level density of states = 7.1 states/eV/cell
E_tot = -27.40 eV per formula unit

a b c (Å): 4.1033 5.2790 7.3577
angles (deg): 90.00 90.00 90.00
Closest atoms and distances in Å follow each position.
Fractional positions:
Ru1 0.2500 0.0173 0.0877  6 Ru 2.43-2.67
Ru2 0.2500 0.2500 0.7829  2 Cl 2.49, 6 Ru 2.56-2.67
Ru3 0.2500 0.4827 0.0877  6 Ru 2.43-2.67
Ru4 0.7500 0.5173 0.9123  6 Ru 2.43-2.67
Ru5 0.7500 0.7500 0.2171  2 Cl 2.49, 6 Ru 2.56-2.67
Ru6 0.7500 0.9827 0.9123  6 Ru 2.43-2.67
Cl1 0.2500 0.7500 0.4098  4 Ru 2.49-2.76
Cl2 0.7500 0.2500 0.5902  4 Ru 2.49-2.76

=====

[3]
Compound: Tb2Zn3Hg2
Source: the Alexandria database
Functional: GGA-PBE
Structure: optimized geometry

## Properties
energy relative to the elements = -0.35 eV per atom
mass density = 10.11 g/cm3
Fermi-level density of states = 4.1 states/eV/cell
E_tot = -16.16 eV per formula unit

a b c (Å): 5.7962 5.7962 6.6726
angles (deg): 109.75 109.75 46.11
Closest atoms and distances in Å follow each position.
Fractional positions:
Tb1 0.1475 0.1475 0.2646  4 Hg 3.10-3.22, 6 Zn 3.15-3.45
Tb2 0.8525 0.8525 0.7354  4 Hg 3.10-3.22, 6 Zn 3.15-3.45
Zn1 0.4154 0.4154 0.0854  2 Zn 2.46-2.58
Zn2 0.5000 0.5000 0.5000  2 Zn 2.58
Zn3 0.5846 0.5846 0.9146  2 Zn 2.46-2.58
Hg1 0.1569 0.1569 0.7467  5 Zn 2.76-2.94
Hg2 0.8431 0.8431 0.2533  5 Zn 2.76-2.94

=====

[4]
Compound: HfThSe2
Source: the Alexandria database
Functional: GGA-PBE
Structure: optimized geometry

## Properties
formation energy (no corrections) = -0.885 eV/atom
mass density = 8.76 g/cm3
Fermi-level density of states = 4.9 states/eV/cell
E_tot = -27.88 eV per formula unit

a b c (Å): 9.5352 9.5352 9.5352
angles (deg): 22.12 22.12 22.12
Closest atoms and distances in Å follow each position.
Fractional positions:
Hf1 0.0000 0.0000 0.0000  6 Se 2.69
Th1 0.5000 0.5000 0.5000  2 Se 2.99
Se1 0.3928 0.3928 0.3928  3 Hf 2.69, 1 Th 2.99
Se2 0.6072 0.6072 0.6072  3 Hf 2.69, 1 Th 2.99